A plane-wave DFT calculation with PBE-GGA was carried out for crystalline Ba2SmSb3Pd4 at its relaxed geometry.

Cell: 4.729 4.729 11.517 Å, 90.00 90.00 90.00°
Atoms (fractional coordinates):
Sb 0.000 0.500 0.121
Sb 0.000 0.000 0.500
Sb 0.500 0.000 0.879
Pd 0.000 0.000 0.000
Pd 0.500 0.000 0.644
Pd 0.000 0.500 0.356
Pd 0.500 0.500 0.000
Ba 0.500 0.000 0.228
Ba 0.000 0.500 0.772
Sm 0.500 0.500 0.500

Calculated values
Space group   No. 115
ΔE_f (raw)   -845 meV/atom
Density of states at the Fermi level   6.39 states/eV/f.u.
Theoretical density   7.8 g cm⁻³
Magnetization   0.00 μB/cell

***

A plane-wave DFT calculation with PBE-GGA was carried out for crystalline TbMn2C2 at its relaxed geometry.

Cell: 5.211 5.211 5.445 Å, 109.76 109.76 107.05°
Site moments in Bohr magnetons follow the coordinates.
Atoms (fractional coordinates):
Mn 0.511 0.261 0.022  0.26
Mn 0.239 0.989 0.478  0.26
Mn 0.489 0.739 0.978  0.26
Mn 0.761 0.011 0.522  0.26
Tb 0.125 0.375 0.250  -0.03
Tb 0.875 0.625 0.750  -0.03
C 0.435 0.065 0.250  -0.02
C 0.815 0.685 0.250  -0.02
C 0.565 0.935 0.750  -0.02
C 0.185 0.315 0.750  -0.02

Calculated values
Space group   No. 70
Density of states at the Fermi level   4.06 states/eV/f.u.
Theoretical density   8.4 g cm⁻³
Calculated formation energy   -26.8 kJ/mol of atoms
Magnetization   0.93 μB/cell

***

Q: The highest density of states at the Fermi level belongs to which entry?
A: Ba2SmSb3Pd4